[1]
# Mg2ZnPt

A PBEsol-optimized structure of Mg2ZnPt (SCAN, Alexandria).

Unit cell a=4.2251 b=4.2251 c=3.5842 alpha=90.00 beta=90.00 gamma=90.00
Sites, in units of the cell vectors:
Mg 0.0000 0.5000 0.0000
Mg 0.5000 0.0000 0.0000
Zn 0.0000 0.0000 0.5000
Pt 0.5000 0.5000 0.5000

Properties
Space-group type = P4/mmm
ΔH_f (0 K) = -0.622 eV per atom
Density = 8.02 g/cm³
V = 63.98 Å³/cell
VASP energy = -24.036 eV per atom


[2]
# Mg2ZnPt

A PBEsol-optimized structure of Mg2ZnPt (SCAN, Alexandria).

Unit cell a=4.9453 b=4.9453 c=4.9453 alpha=133.19 beta=133.19 gamma=68.35
Sites, in units of the cell vectors:
Mg 0.0000 0.0000 0.0000
Mg 0.7500 0.2500 0.5000
Zn 0.2500 0.7500 0.5000
Pt 0.5000 0.5000 0.0000

Properties
Space-group type = I-4m2
ΔH_f (0 K) = -0.654 eV per atom
Density = 8.13 g/cm³
V = 63.15 Å³/cell
VASP energy = -24.068 eV per atom


[3]
# MgZn2Pt

A PBEsol-optimized structure of MgZn2Pt (SCAN, Alexandria).

Unit cell a=3.8501 b=3.8501 c=3.9800 alpha=90.00 beta=90.00 gamma=90.00
Sites, in units of the cell vectors:
Mg 0.0000 0.0000 0.0000
Zn 0.0000 0.5000 0.5000
Zn 0.5000 0.0000 0.5000
Pt 0.5000 0.5000 0.0000

Properties
Space-group type = P4/mmm
ΔH_f (0 K) = -0.529 eV per atom
Density = 9.86 g/cm³
V = 59.00 Å³/cell
VASP energy = -26.078 eV per atom